No. 1
{"formula": "NaCdSn2", "functional": "PBE-GGA", "state": "relaxed", "total_energy_ev_per_atom": -2.5736, "magmom_total_mub_per_cell": 0.0, "volume_a3_per_atom": 28.7, "cell": [[-4.947, -0.147, 0.539], [-2.246, -4.275, 1.209], [-1.868, -0.287, 5.765]], "species": ["Sn", "Sn", "Na", "Cd"], "fractional_positions": [[0.065, 0.065, 0.804], [0.266, 0.266, 0.201], [0.486, 0.486, 0.542], [0.682, 0.682, 0.954]]}

No. 2
{"formula": "CePa2", "functional": "PBE-GGA", "state": "relaxed", "total_energy_ev_per_atom": -8.2872, "relative_energy_kj_per_mol_atoms": 0.00, "magmom_total_mub_per_cell": 0.0, "volume_a3_per_atom": 25.4, "cell": [[-3.183, -0.680, -0.324], [0.632, -3.176, 0.459], [0.381, 2.765, 6.951]], "species": ["Ce", "Pa", "Pa"], "fractional_positions": [[0.000, 0.000, 0.000], [0.668, 0.668, 0.336], [0.332, 0.332, 0.664]]}

What is the formula in the second record?
CePa2